Entry 1:
Material: YTaGaSi2
Method: DFT, PBE
State: relaxed

Summary:
As for the energy relative to the elements, uncorrected: 72.72 kJ per mole of atoms.

Cell and atoms, written as CIF:
```
data_YTaGaSi2
_chemical_formula_sum 'Y1 Ta1 Ga1 Si2'
_symmetry_space_group_name_H-M 'P 1'
_symmetry_Int_Tables_number 1
_cell_length_a 4.7124
_cell_length_b 4.8965
_cell_length_c 4.7124
_cell_angle_alpha 90.00
_cell_angle_beta 90.00
_cell_angle_gamma 90.00
loop_
_symmetry_equiv_pos_as_xyz
'x,y,z'
loop_
_atom_site_label
_atom_site_type_symbol
_atom_site_fract_x
_atom_site_fract_y
_atom_site_fract_z
_atom_site_occupancy
Y1 Y 0.5000 0.5000 0.5000 1
Si1 Si 0.0000 0.0000 0.5000 1
Si2 Si 0.5000 0.0000 0.0000 1
Ga1 Ga 0.0000 0.0000 0.0000 1
Ta1 Ta 0.0000 0.5000 0.0000 1
```

Entry 2:
Material: CuCO
Method: DFT, PBE
State: relaxed

Summary:
As for the energy relative to the elements, uncorrected: 24.10 kJ per mole of atoms.

Cell and atoms, written as CIF:
```
data_CuCO
_chemical_formula_sum 'Cu2 C2 O2'
_symmetry_space_group_name_H-M 'P 1'
_symmetry_Int_Tables_number 1
_cell_length_a 2.2869
_cell_length_b 7.4566
_cell_length_c 4.6651
_cell_angle_alpha 104.19
_cell_angle_beta 77.72
_cell_angle_gamma 85.33
loop_
_symmetry_equiv_pos_as_xyz
'x,y,z'
loop_
_atom_site_label
_atom_site_type_symbol
_atom_site_fract_x
_atom_site_fract_y
_atom_site_fract_z
_atom_site_occupancy
Cu1 Cu 0.1323 0.5093 0.7427 1
Cu2 Cu 0.8677 0.4907 0.2573 1
C1 C 0.1113 0.2611 0.8779 1
C2 C 0.8887 0.7389 0.1221 1
O1 O 0.6670 0.1516 0.8164 1
O2 O 0.3330 0.8484 0.1836 1
```

Entry 3:
Material: BaSeN2
Method: DFT, PBE
State: relaxed

Summary:
As for the energy relative to the elements, uncorrected: 119.42 kJ per mole of atoms.

Cell and atoms, written as CIF:
```
data_BaSeN2
_chemical_formula_sum 'Ba1 Se1 N2'
_symmetry_space_group_name_H-M 'P 1'
_symmetry_Int_Tables_number 1
_cell_length_a 7.6511
_cell_length_b 7.6511
_cell_length_c 7.6511
_cell_angle_alpha 24.80
_cell_angle_beta 24.80
_cell_angle_gamma 24.80
loop_
_symmetry_equiv_pos_as_xyz
'x,y,z'
loop_
_atom_site_label
_atom_site_type_symbol
_atom_site_fract_x
_atom_site_fract_y
_atom_site_fract_z
_atom_site_occupancy
Ba1 Ba 0.0000 0.0000 0.0000 1
Se1 Se 0.5000 0.5000 0.5000 1
N1 N 0.8822 0.8822 0.8822 1
N2 N 0.1178 0.1178 0.1178 1
```

Entry 4:
Material: ZrBeTe2C
Method: DFT, PBE
State: relaxed

Summary:
As for the energy relative to the elements, uncorrected: 144.29 kJ per mole of atoms.

Cell and atoms, written as CIF:
```
data_ZrBeTe2C
_chemical_formula_sum 'Zr1 Be1 Te2 C1'
_symmetry_space_group_name_H-M 'P 1'
_symmetry_Int_Tables_number 1
_cell_length_a 4.6661
_cell_length_b 4.8173
_cell_length_c 4.6661
_cell_angle_alpha 90.00
_cell_angle_beta 90.00
_cell_angle_gamma 90.00
loop_
_symmetry_equiv_pos_as_xyz
'x,y,z'
loop_
_atom_site_label
_atom_site_type_symbol
_atom_site_fract_x
_atom_site_fract_y
_atom_site_fract_z
_atom_site_occupancy
Be1 Be 0.0000 0.0000 0.0000 1
C1 C 0.5000 0.5000 0.5000 1
Te1 Te 0.0000 0.0000 0.5000 1
Te2 Te 0.5000 0.0000 0.0000 1
Zr1 Zr 0.0000 0.5000 0.0000 1
```

Entry 5:
Material: Pr6TeIr2Se3
Method: DFT, PBE
State: relaxed

Summary:
As for the energy relative to the elements, uncorrected: -130.30 kJ per mole of atoms.

Cell and atoms, written as CIF:
```
data_Pr6TeIr2Se3
_chemical_formula_sum 'Pr6 Te1 Ir2 Se3'
_symmetry_space_group_name_H-M 'P 1'
_symmetry_Int_Tables_number 1
_cell_length_a 4.2288
_cell_length_b 8.8828
_cell_length_c 9.7029
_cell_angle_alpha 104.73
_cell_angle_beta 102.59
_cell_angle_gamma 90.00
loop_
_symmetry_equiv_pos_as_xyz
'x,y,z'
loop_
_atom_site_label
_atom_site_type_symbol
_atom_site_fract_x
_atom_site_fract_y
_atom_site_fract_z
_atom_site_occupancy
Pr1 Pr 0.3243 0.8837 0.6485 1
Pr2 Pr 0.6732 0.5748 0.3465 1
Pr3 Pr 0.6757 0.1163 0.3515 1
Pr4 Pr 0.0125 0.2707 0.0251 1
Pr5 Pr 0.9875 0.7293 0.9749 1
Pr6 Pr 0.3268 0.4252 0.6535 1
Te1 Te 0.5000 0.0000 0.0000 1
Ir1 Ir 0.8310 0.6617 0.6620 1
Ir2 Ir 0.1690 0.3383 0.3380 1
Se1 Se 0.5000 0.5000 0.0000 1
Se2 Se 0.8411 0.1593 0.6822 1
Se3 Se 0.1589 0.8407 0.3178 1
```

Entry 6:
Material: Ce2RhO
Method: DFT, PBE
State: relaxed

Summary:
The calculation puts the excess energy over the best structure of this formula in the dataset at 215 meV per atom. As for the energy relative to the elements, uncorrected: -132.49 kJ per mole of atoms.

Cell and atoms, written as CIF:
```
data_Ce2RhO
_chemical_formula_sum 'Ce2 Rh1 O1'
_symmetry_space_group_name_H-M 'P 1'
_symmetry_Int_Tables_number 1
_cell_length_a 3.0628
_cell_length_b 3.0628
_cell_length_c 7.2926
_cell_angle_alpha 90.00
_cell_angle_beta 90.00
_cell_angle_gamma 90.00
loop_
_symmetry_equiv_pos_as_xyz
'x,y,z'
loop_
_atom_site_label
_atom_site_type_symbol
_atom_site_fract_x
_atom_site_fract_y
_atom_site_fract_z
_atom_site_occupancy
Rh1 Rh 0.5000 0.5000 0.5000 1
O1 O 0.5000 0.5000 0.0000 1
Ce1 Ce 0.0000 0.0000 0.7830 1
Ce2 Ce 0.0000 0.0000 0.2170 1
```

Entry 7:
Material: ZrIr2Pb
Method: DFT, PBE
State: relaxed

Summary:
The formation energy comes out at -0.165 eV per atom.

Cell and atoms, written as CIF:
```
data_ZrIr2Pb
_chemical_formula_sum 'Zr1 Ir2 Pb1'
_symmetry_space_group_name_H-M 'P 1'
_symmetry_Int_Tables_number 1
_cell_length_a 5.2844
_cell_length_b 5.2844
_cell_length_c 5.2844
_cell_angle_alpha 134.86
_cell_angle_beta 134.83
_cell_angle_gamma 65.77
loop_
_symmetry_equiv_pos_as_xyz
'x,y,z'
loop_
_atom_site_label
_atom_site_type_symbol
_atom_site_fract_x
_atom_site_fract_y
_atom_site_fract_z
_atom_site_occupancy
Ir1 Ir 0.0001 0.0001 0.0000 1
Ir2 Ir 0.7500 0.2500 0.5000 1
Pb1 Pb 0.5000 0.5000 0.0000 1
Zr1 Zr 0.2499 0.7499 0.5000 1
```

Entry 8:
Material: RbBe3I
Method: DFT, PBE
State: relaxed

Summary:
The calculation puts the excess energy over the best structure of this formula in the dataset at 361 meV per atom. As for the energy relative to the elements, uncorrected: 183.08 kJ per mole of atoms.

Cell and atoms, written as CIF:
```
data_RbBe3I
_chemical_formula_sum 'Rb1 Be3 I1'
_symmetry_space_group_name_H-M 'P 1'
_symmetry_Int_Tables_number 1
_cell_length_a 6.4729
_cell_length_b 6.4729
_cell_length_c 6.4729
_cell_angle_alpha 90.00
_cell_angle_beta 90.00
_cell_angle_gamma 90.00
loop_
_symmetry_equiv_pos_as_xyz
'x,y,z'
loop_
_atom_site_label
_atom_site_type_symbol
_atom_site_fract_x
_atom_site_fract_y
_atom_site_fract_z
_atom_site_occupancy
I1 I 0.5000 0.5000 0.5000 1
Be1 Be 0.0000 0.5000 0.0000 1
Be2 Be 0.0000 0.0000 0.5000 1
Be3 Be 0.5000 0.0000 0.0000 1
Rb1 Rb 0.0000 0.0000 0.0000 1
```

| no. | total moment (Bohr magnetons per cell) |
| --- | --- |
| 1 | 0.0 |
| 2 | 0.0 |
| 3 | 0.0 |
| 4 | 0.0 |
| 5 | 0.0 |
| 6 | 0.0 |
| 7 | 0.0 |
| 8 | 0.0 |